Record 1
DFT (PBE) results for Ho3TmB after structural relaxation.

Values from the calculation:
As for the space group: Pm-3m. For the electronic total energy, the calculation gives -4.909 eV per atom.

Lattice parameters (Å, degrees): 5.127 5.127 5.127 90.00 90.00 90.00
Fractional coordinates of all 5 atoms:
B: 0.000 0.000 0.000
Ho: 0.000 0.500 0.000
Ho: 0.500 0.000 0.000
Ho: 0.000 0.000 0.500
Tm: 0.500 0.500 0.500


Record 2
DFT (PBE) results for Ho3VB7 after structural relaxation.

Values from the calculation:
As for the space group: Cmcm. For the electronic total energy, the calculation gives -6.966 eV per atom.

Lattice parameters (Å, degrees): 3.422 8.110 9.392 90.00 90.00 102.18
Fractional coordinates of all 22 atoms:
V: 0.947 0.894 0.250
Ho: 0.894 0.788 0.940
B: 0.632 0.265 0.649
Ho: 0.106 0.212 0.440
B: 0.458 0.916 0.750
B: 0.727 0.454 0.968
Ho: 0.894 0.788 0.560
B: 0.521 0.041 0.906
B: 0.368 0.735 0.351
B: 0.479 0.959 0.094
B: 0.368 0.735 0.149
Ho: 0.243 0.486 0.750
B: 0.273 0.546 0.468
B: 0.632 0.265 0.851
B: 0.727 0.454 0.532
Ho: 0.106 0.212 0.060
B: 0.542 0.084 0.250
B: 0.521 0.041 0.594
B: 0.273 0.546 0.032
Ho: 0.757 0.514 0.250
V: 0.053 0.106 0.750
B: 0.479 0.959 0.406


Record 3
DFT (PBE) results for HoVB2 after structural relaxation.

Values from the calculation:
As for the space group: R-3m. For the electronic total energy, the calculation gives -6.818 eV per atom.

Lattice parameters (Å, degrees): 3.562 3.562 5.303 70.38 70.38 60.00
Fractional coordinates of all 4 atoms:
B: 0.716 0.716 0.853
V: 0.000 0.000 0.000
B: 0.284 0.284 0.147
Ho: 0.500 0.500 0.500


Record 4
DFT (PBE) results for HoB2W after structural relaxation.

Values from the calculation:
As for the space group: R-3m. For the electronic total energy, the calculation gives -7.834 eV per atom.

Lattice parameters (Å, degrees): 3.356 3.356 6.024 73.83 73.83 60.00
Fractional coordinates of all 4 atoms:
W: 0.000 0.000 0.000
Ho: 0.500 0.500 0.500
B: 0.735 0.735 0.795
B: 0.265 0.265 0.205


Size of the total moment (computed, μB per formula unit): 0.00, 0.00, 0.00, 0.00